# Sc3ZnN (SCAN, PBEsol geometry)
# VASP energy ... -71.3 eV per formula unit
# Spin magnetization ... 0.00 μB per cell
# Formation energy without anion corrections ... -1.149 eV per atom
# Mass density ... 4.344 g cm⁻³
# Density of states at the Fermi level ... 0.94 states/eV per cell
data_Sc3ZnN
_cell_length_a 6.1346
_cell_length_b 6.1346
_cell_length_c 6.1494
_cell_angle_alpha 60.08
_cell_angle_beta 60.08
_cell_angle_gamma 60.00
_space_group_name_H-M_alt 'P 1'
_space_group_IT_number 1
loop_
_space_group_symop_operation_xyz
'x,y,z'
loop_
_atom_site_label
_atom_site_fract_x
_atom_site_fract_y
_atom_site_fract_z
_atom_site_occupancy
N1 0.5000 0.5000 0.5000 1
N2 0.0000 0.0000 0.0000 1
Sc1 0.7998 0.7002 0.2500 1
Sc2 0.2998 0.7500 0.7500 1
Sc3 0.7500 0.2002 0.7500 1
Sc4 0.7002 0.2500 0.2500 1
Sc5 0.2500 0.7998 0.2500 1
Sc6 0.2002 0.2998 0.7500 1
Zn1 0.7500 0.7500 0.7500 1
Zn2 0.2500 0.2500 0.2500 1

# Mo2Pt (SCAN, PBEsol geometry)
# VASP energy ... -140.6 eV per formula unit
# Spin magnetization ... 0.00 μB per cell
# Mass density ... 14.277 g cm⁻³
# Density of states at the Fermi level ... 9.83 states/eV per cell
# ΔE to the lowest computed polymorph ... 0.000 eV/f.u.
data_Mo2Pt
_cell_length_a 3.9211
_cell_length_b 3.9211
_cell_length_c 12.0331
_cell_angle_alpha 99.38
_cell_angle_beta 99.38
_cell_angle_gamma 90.00
_space_group_name_H-M_alt 'P 1'
_space_group_IT_number 1
loop_
_space_group_symop_operation_xyz
'x,y,z'
loop_
_atom_site_label
_atom_site_fract_x
_atom_site_fract_y
_atom_site_fract_z
_atom_site_occupancy
Mo1 0.9990 0.4990 0.9981 1
Mo2 0.4177 0.4177 0.8354 1
Mo3 0.7490 0.7490 0.4981 1
Mo4 0.6677 0.1677 0.3354 1
Mo5 0.8323 0.3323 0.6646 1
Mo6 0.5823 0.5823 0.1646 1
Mo7 0.5010 0.0010 0.0019 1
Mo8 0.2510 0.2510 0.5019 1
Pt1 0.1658 0.6658 0.3315 1
Pt2 0.9158 0.9158 0.8315 1
Pt3 0.3342 0.8342 0.6685 1
Pt4 0.0842 0.0842 0.1685 1

# NaTi2Al5O12 (SCAN, PBEsol geometry)
# VASP energy ... -215.2 eV per formula unit
# Spin magnetization ... 0.00 μB per cell
# Formation energy without anion corrections ... -3.269 eV per atom
# Mass density ... 3.629 g cm⁻³
# Density of states at the Fermi level ... 0.00 states/eV per cell
data_NaTi2Al5O12
_cell_length_a 2.9179
_cell_length_b 9.0887
_cell_length_c 15.3798
_cell_angle_alpha 90.00
_cell_angle_beta 90.00
_cell_angle_gamma 90.00
_space_group_name_H-M_alt 'P 1'
_space_group_IT_number 1
loop_
_space_group_symop_operation_xyz
'x,y,z'
loop_
_atom_site_label
_atom_site_fract_x
_atom_site_fract_y
_atom_site_fract_z
_atom_site_occupancy
Al1 0.0000 0.0000 0.0000 1
Al2 0.5000 0.3118 0.3531 1
Al3 0.5000 0.1882 0.8531 1
Al4 0.0000 0.0132 0.3016 1
Al5 0.0000 0.9868 0.6984 1
Al6 0.0000 0.5132 0.1984 1
Al7 0.0000 0.4868 0.8016 1
Al8 0.5000 0.8118 0.1469 1
Al9 0.0000 0.5000 0.5000 1
Al10 0.5000 0.6882 0.6469 1
O1 0.5000 0.8835 0.6472 1
O2 0.5000 0.1165 0.3528 1
O3 0.0000 0.6319 0.5938 1
O4 0.5000 0.3926 0.5509 1
O5 0.0000 0.8683 0.3947 1
O6 0.5000 0.3835 0.8528 1
O7 0.5000 0.8926 0.9491 1
O8 0.5000 0.6050 0.7530 1
O9 0.0000 0.3683 0.1053 1
O10 0.5000 0.8950 0.2530 1
O11 0.5000 0.1074 0.0509 1
O12 0.5000 0.3950 0.2470 1
O13 0.5000 0.1050 0.7470 1
O14 0.5000 0.6165 0.1472 1
O15 0.0000 0.6317 0.8947 1
O16 0.0000 0.1317 0.6053 1
O17 0.5000 0.6074 0.4491 1
O18 0.0000 0.8583 0.7945 1
O19 0.0000 0.3681 0.4062 1
O20 0.0000 0.1319 0.9062 1
O21 0.0000 0.6417 0.2945 1
O22 0.0000 0.3583 0.7055 1
O23 0.0000 0.8681 0.0938 1
O24 0.0000 0.1417 0.2055 1
Ti1 0.5000 0.7672 0.8570 1
Ti2 0.5000 0.2672 0.6430 1
Ti3 0.5000 0.7328 0.3570 1
Ti4 0.5000 0.2328 0.1430 1
Na1 0.5000 0.0000 0.5000 1
Na2 0.5000 0.5000 0.0000 1

# CdAu (SCAN, PBEsol geometry)
# VASP energy ... -100.0 eV per formula unit
# Spin magnetization ... 0.00 μB per cell
# Mass density ... 13.997 g cm⁻³
# Density of states at the Fermi level ... 1.57 states/eV per cell
data_CdAu
_cell_length_a 3.1861
_cell_length_b 5.3951
_cell_length_c 7.0854
_cell_angle_alpha 108.00
_cell_angle_beta 90.00
_cell_angle_gamma 107.17
_space_group_name_H-M_alt 'P 1'
_space_group_IT_number 1
loop_
_space_group_symop_operation_xyz
'x,y,z'
loop_
_atom_site_label
_atom_site_fract_x
_atom_site_fract_y
_atom_site_fract_z
_atom_site_occupancy
Cd1 0.6875 0.3750 0.3461 1
Cd2 0.7187 0.4374 0.9373 1
Cd3 0.0287 0.0574 0.5974 1
Au1 0.0114 0.0228 0.0088 1
Au2 0.3972 0.7944 0.2584 1
Au3 0.3232 0.6464 0.6853 1

# Mg3ZnNi (SCAN, PBEsol geometry)
# VASP energy ... -43.5 eV per formula unit
# Spin magnetization ... 0.00 μB per cell
# Mass density ... 3.087 g cm⁻³
# Density of states at the Fermi level ... 1.88 states/eV per cell
data_Mg3ZnNi
_cell_length_a 4.7324
_cell_length_b 4.7324
_cell_length_c 4.7324
_cell_angle_alpha 90.00
_cell_angle_beta 90.00
_cell_angle_gamma 90.00
_space_group_name_H-M_alt 'P 1'
_space_group_IT_number 1
loop_
_space_group_symop_operation_xyz
'x,y,z'
loop_
_atom_site_label
_atom_site_fract_x
_atom_site_fract_y
_atom_site_fract_z
_atom_site_occupancy
Zn1 0.5000 0.5000 0.5000 1
Ni1 0.0000 0.0000 0.0000 1
Mg1 0.0000 0.0000 0.5000 1
Mg2 0.5000 0.0000 0.0000 1
Mg3 0.0000 0.5000 0.0000 1

# Cu2GeAu2 (SCAN, PBEsol geometry)
# VASP energy ... -187.6 eV per formula unit
# Spin magnetization ... 0.00 μB per cell
# Mass density ... 13.109 g cm⁻³
# Density of states at the Fermi level ... 3.34 states/eV per cell
data_Cu2GeAu2
_cell_length_a 3.6198
_cell_length_b 6.4459
_cell_length_c 6.4459
_cell_angle_alpha 90.00
_cell_angle_beta 90.00
_cell_angle_gamma 90.00
_space_group_name_H-M_alt 'P 1'
_space_group_IT_number 1
loop_
_space_group_symop_operation_xyz
'x,y,z'
loop_
_atom_site_label
_atom_site_fract_x
_atom_site_fract_y
_atom_site_fract_z
_atom_site_occupancy
Au1 0.5000 0.8405 0.3405 1
Au2 0.5000 0.3405 0.1595 1
Au3 0.5000 0.1595 0.6595 1
Au4 0.5000 0.6595 0.8405 1
Ge1 0.0000 0.0000 0.0000 1
Ge2 0.0000 0.5000 0.5000 1
Cu1 0.0000 0.8612 0.6388 1
Cu2 0.0000 0.6388 0.1388 1
Cu3 0.0000 0.3612 0.8612 1
Cu4 0.0000 0.1388 0.3612 1

# KCrSb4 (SCAN, PBEsol geometry)
# VASP energy ... -174.7 eV per formula unit
# Spin magnetization ... 4.79 μB per cell
# Formation energy without anion corrections ... 0.172 eV per atom
# Mass density ... 5.548 g cm⁻³
# Density of states at the Fermi level ... 2.27 states/eV per cell
data_KCrSb4
_cell_length_a 6.2550
_cell_length_b 6.2550
_cell_length_c 6.2550
_cell_angle_alpha 60.00
_cell_angle_beta 60.00
_cell_angle_gamma 60.00
_space_group_name_H-M_alt 'P 1'
_space_group_IT_number 1
loop_
_space_group_symop_operation_xyz
'x,y,z'
loop_
_atom_site_label
_atom_site_fract_x
_atom_site_fract_y
_atom_site_fract_z
_atom_site_occupancy
K1 0.0000 0.0000 0.0000 1
Sb1 0.3758 0.3758 0.8727 1
Sb2 0.3758 0.8727 0.3758 1
Sb3 0.8727 0.3758 0.3758 1
Sb4 0.3758 0.3758 0.3758 1
Cr1 0.7500 0.7500 0.7500 1

# ZrMoAs2Se (SCAN, PBEsol geometry)
# VASP energy ... -123.1 eV per formula unit
# Spin magnetization ... 3.36 μB per cell
# Formation energy without anion corrections ... 0.586 eV per atom
# Mass density ... 5.300 g cm⁻³
# Density of states at the Fermi level ... 2.94 states/eV per cell
data_ZrMoAs2Se
_cell_length_a 5.0399
_cell_length_b 5.0850
_cell_length_c 5.0850
_cell_angle_alpha 90.00
_cell_angle_beta 90.00
_cell_angle_gamma 90.00
_space_group_name_H-M_alt 'P 1'
_space_group_IT_number 1
loop_
_space_group_symop_operation_xyz
'x,y,z'
loop_
_atom_site_label
_atom_site_fract_x
_atom_site_fract_y
_atom_site_fract_z
_atom_site_occupancy
Se1 0.5000 0.0000 0.0000 1
Zr1 0.0000 0.0000 0.0000 1
As1 0.0000 0.0000 0.5000 1
As2 0.0000 0.5000 0.0000 1
Mo1 0.5000 0.5000 0.5000 1

# Zr2AlAu (SCAN, PBEsol geometry)
# VASP energy ... -140.8 eV per formula unit
# Spin magnetization ... 0.01 μB per cell
# Mass density ... 8.965 g cm⁻³
# Density of states at the Fermi level ... 2.73 states/eV per cell
data_Zr2AlAu
_cell_length_a 3.1723
_cell_length_b 5.0057
_cell_length_c 5.0057
_cell_angle_alpha 108.75
_cell_angle_beta 90.00
_cell_angle_gamma 90.00
_space_group_name_H-M_alt 'P 1'
_space_group_IT_number 1
loop_
_space_group_symop_operation_xyz
'x,y,z'
loop_
_atom_site_label
_atom_site_fract_x
_atom_site_fract_y
_atom_site_fract_z
_atom_site_occupancy
Au1 0.5000 0.5000 0.5000 1
Zr1 0.0000 0.0000 0.5000 1
Zr2 0.0000 0.5000 0.0000 1
Al1 0.5000 0.0000 0.0000 1

# Si2HgGe (SCAN, PBEsol geometry)
# VASP energy ... -104.2 eV per formula unit
# Spin magnetization ... 0.00 μB per cell
# Formation energy without anion corrections ... 0.761 eV per atom
# Mass density ... 7.498 g cm⁻³
# Density of states at the Fermi level ... 2.05 states/eV per cell
data_Si2HgGe
_cell_length_a 4.6902
_cell_length_b 4.6902
_cell_length_c 4.6902
_cell_angle_alpha 60.00
_cell_angle_beta 60.00
_cell_angle_gamma 60.00
_space_group_name_H-M_alt 'P 1'
_space_group_IT_number 1
loop_
_space_group_symop_operation_xyz
'x,y,z'
loop_
_atom_site_label
_atom_site_fract_x
_atom_site_fract_y
_atom_site_fract_z
_atom_site_occupancy
Hg1 0.5000 0.5000 0.5000 1
Ge1 0.0000 0.0000 0.0000 1
Si1 0.7500 0.7500 0.7500 1
Si2 0.2500 0.2500 0.2500 1

# MnCo2Mo (SCAN, PBEsol geometry)
# VASP energy ... -86.8 eV per formula unit
# Spin magnetization ... 0.00 μB per cell
# Mass density ... 9.897 g cm⁻³
# Density of states at the Fermi level ... 2.69 states/eV per cell
# ΔE to the lowest computed polymorph ... 0.669 eV/f.u.
data_MnCo2Mo
_cell_length_a 2.5238
_cell_length_b 4.0374
_cell_length_c 4.4254
_cell_angle_alpha 90.00
_cell_angle_beta 90.00
_cell_angle_gamma 90.00
_space_group_name_H-M_alt 'P 1'
_space_group_IT_number 1
loop_
_space_group_symop_operation_xyz
'x,y,z'
loop_
_atom_site_label
_atom_site_fract_x
_atom_site_fract_y
_atom_site_fract_z
_atom_site_occupancy
Mo1 0.5000 0.5000 0.2091 1
Mn1 0.5000 0.0000 0.5603 1
Co1 0.0000 0.0000 0.0268 1
Co2 0.0000 0.5000 0.7038 1

# TiAlBr2 (SCAN, PBEsol geometry)
# VASP energy ... -62.6 eV per formula unit
# Spin magnetization ... 2.62 μB per cell
# Formation energy without anion corrections ... 0.015 eV per atom
# Mass density ... 4.768 g cm⁻³
# Density of states at the Fermi level ... 3.41 states/eV per cell
# ΔE to the lowest computed polymorph ... 0.166 eV/f.u.
data_TiAlBr2
_cell_length_a 4.8711
_cell_length_b 4.8711
_cell_length_c 4.8711
_cell_angle_alpha 60.00
_cell_angle_beta 60.00
_cell_angle_gamma 60.00
_space_group_name_H-M_alt 'P 1'
_space_group_IT_number 1
loop_
_space_group_symop_operation_xyz
'x,y,z'
loop_
_atom_site_label
_atom_site_fract_x
_atom_site_fract_y
_atom_site_fract_z
_atom_site_occupancy
Br1 0.7500 0.7500 0.7500 1
Br2 0.2500 0.2500 0.2500 1
Ti1 0.5000 0.5000 0.5000 1
Al1 0.0000 0.0000 0.0000 1